No. 1
## Pu6RuPt3 (PBE-GGA)

Data for a relaxed structure of Pu6RuPt3.

abc: 7.855 7.855 7.855
angles: 87.00 87.00 87.00
Each line ends with the local moment (μB).
Fractional positions:
1 Pt 0.848 0.455 0.936  -0.05
2 Pu 0.872 0.210 0.244  5.28
3 Pu 0.756 0.128 0.790  5.28
4 Pu 0.790 0.756 0.128  5.28
5 Pu 0.210 0.244 0.872  5.28
6 Pt 0.455 0.936 0.848  -0.05
7 Pt 0.936 0.848 0.455  -0.05
8 Pu 0.428 0.166 0.515  5.41
9 Pu 0.834 0.485 0.572  5.41
10 Pu 0.515 0.428 0.166  5.41
11 Ru 0.500 0.500 0.500  -0.54
12 Pt 0.064 0.152 0.545  -0.05
13 Pt 0.545 0.064 0.152  -0.05
14 Pu 0.485 0.572 0.834  5.41
15 Ru 0.000 0.000 0.000  -0.53
16 Pu 0.166 0.515 0.428  5.41
17 Pu 0.128 0.790 0.756  5.28
18 Pu 0.572 0.834 0.485  5.41
19 Pt 0.152 0.545 0.064  -0.05
20 Pu 0.244 0.872 0.210  5.28

* calculated formation energy: -0.353 eV per atom
* crystal system: trigonal

No. 2
## Pu4Ru2Pt (PBE-GGA)

Data for a relaxed structure of Pu4Ru2Pt.

abc: 7.347 7.347 7.347
angles: 108.74 110.94 108.74
Each line ends with the local moment (μB).
Fractional positions:
1 Pu 0.137 0.893 0.381  5.08
2 Pu 0.994 0.607 0.738  5.08
3 Ru 0.515 0.390 0.625  -0.66
4 Pu 0.613 0.744 0.006  5.08
5 Ru 0.875 0.110 0.485  -0.66
6 Pu 0.488 0.107 0.244  5.08
7 Pu 0.131 0.393 0.387  5.08
8 Pu 0.262 0.256 0.869  5.08
9 Pt 0.750 0.500 0.250  -0.07
10 Ru 0.375 0.890 0.765  -0.66
11 Pt 0.000 0.000 0.000  -0.07
12 Pu 0.619 0.756 0.512  5.08
13 Ru 0.235 0.610 0.125  -0.66
14 Pu 0.756 0.244 0.863  5.08

* calculated formation energy: -0.280 eV per atom
* crystal system: tetragonal

No. 3
## Pu8Ru5Pt (PBE-GGA)

Data for a relaxed structure of Pu8Ru5Pt.

abc: 7.299 7.299 7.299
angles: 108.93 110.56 108.93
Each line ends with the local moment (μB).
Fractional positions:
1 Pu 0.636 0.892 0.872  5.06
2 Pt 0.250 0.500 0.750  -0.07
3 Ru 0.753 0.611 0.628  -0.66
4 Pu 0.123 0.757 0.512  5.01
5 Ru 0.016 0.389 0.142  -0.66
6 Ru 0.372 0.126 0.984  -0.66
7 Ru 0.500 0.000 0.500  -0.65
8 Pu 0.755 0.243 0.366  5.01
9 Ru 0.858 0.874 0.247  -0.66
10 Pu 0.981 0.108 0.744  5.06
11 Pu 0.634 0.389 0.877  5.01
12 Pu 0.256 0.236 0.364  5.06
13 Pu 0.488 0.611 0.245  5.01
14 Pu 0.128 0.764 0.019  5.06

* calculated formation energy: -0.178 eV per atom
* crystal system: tetragonal

No. 4
## PuRu2Pt (PBE-GGA)

Data for a relaxed structure of PuRu2Pt.

abc: 3.842 4.150 4.150
angles: 90.00 90.00 90.00
Each line ends with the local moment (μB).
Fractional positions:
1 Ru 0.000 0.000 0.500  -0.66
2 Ru 0.000 0.500 0.000  -0.66
3 Pt 0.500 0.500 0.500  -0.09
4 Pu 0.500 0.000 0.000  4.11

* calculated formation energy: -0.253 eV per atom
* crystal system: tetragonal

No. 5
## Pu4Ru3Pt (PBE-GGA)

Data for a relaxed structure of Pu4Ru3Pt.

abc: 4.805 4.805 8.448
angles: 73.21 73.21 59.73
Each line ends with the local moment (μB).
Fractional positions:
1 Pt 0.000 0.000 0.000  -0.11
2 Pu 0.623 0.623 0.131  5.02
3 Ru 0.754 0.753 0.740  -0.79
4 Pu 0.874 0.874 0.378  4.92
5 Ru 0.500 0.500 0.500  -0.79
6 Pu 0.377 0.377 0.869  5.02
7 Ru 0.246 0.247 0.260  -0.79
8 Pu 0.126 0.126 0.622  4.92

* calculated formation energy: -0.269 eV per atom
* crystal system: monoclinic

No. 6
## Pu8RuPt5 (PBE-GGA)

Data for a relaxed structure of Pu8RuPt5.

abc: 7.485 7.485 7.485
angles: 109.83 108.75 109.83
Each line ends with the local moment (μB).
Fractional positions:
1 Pu 0.612 0.884 0.875  5.22
2 Pu 0.481 0.606 0.227  5.27
3 Pu 0.272 0.263 0.388  5.22
4 Pt 0.753 0.634 0.627  -0.07
5 Ru 0.250 0.500 0.750  -0.66
6 Pt 0.500 0.000 0.500  -0.07
7 Pu 0.990 0.116 0.728  5.22
8 Pu 0.125 0.746 0.519  5.27
9 Pt 0.881 0.874 0.247  -0.07
10 Pt 0.993 0.366 0.119  -0.07
11 Pu 0.125 0.737 0.010  5.22
12 Pt 0.373 0.126 0.007  -0.07
13 Pu 0.773 0.254 0.379  5.27
14 Pu 0.621 0.394 0.875  5.27

* calculated formation energy: -0.592 eV per atom
* crystal system: tetragonal

No. 7
## Pu4RuPt2 (PBE-GGA)

Data for a relaxed structure of Pu4RuPt2.

abc: 4.221 6.929 7.237
angles: 118.88 106.95 90.00
Each line ends with the local moment (μB).
Fractional positions:
1 Pu 0.120 0.762 0.240  -5.17
2 Pu 0.390 0.715 0.779  4.96
3 Pu 0.610 0.285 0.221  4.96
4 Pt 0.758 0.758 0.517  0.01
5 Pu 0.880 0.238 0.760  -5.17
6 Ru 0.000 0.000 0.000  -0.27
7 Pt 0.242 0.242 0.483  0.01

* calculated formation energy: -0.288 eV per atom
* crystal system: monoclinic
* offset from the most stable computed form: 91 meV/atom

No. 8
## Pu4RuPt (PBE-GGA)

Data for a relaxed structure of Pu4RuPt.

abc: 5.977 6.899 6.899
angles: 90.00 90.00 90.00
Each line ends with the local moment (μB).
Fractional positions:
1 Pu 0.500 0.657 0.174  5.49
2 Ru 0.250 0.500 0.500  -0.52
3 Pu 0.500 0.174 0.343  5.49
4 Pu 0.500 0.343 0.826  5.49
5 Pu 0.000 0.174 0.657  5.49
6 Pu 0.000 0.343 0.174  5.49
7 Pu 0.000 0.657 0.826  5.49
8 Ru 0.750 0.500 0.500  -0.52
9 Pt 0.750 0.000 0.000  0.02
10 Pu 0.000 0.826 0.343  5.49
11 Pu 0.500 0.826 0.657  5.49
12 Pt 0.250 0.000 0.000  0.02

* calculated formation energy: -0.243 eV per atom
* crystal system: tetragonal

No. 9
## Pu6RuPt5 (PBE-GGA)

Data for a relaxed structure of Pu6RuPt5.

abc: 4.956 6.932 7.815
angles: 89.12 71.51 89.99
Each line ends with the local moment (μB).
Fractional positions:
1 Pt 0.000 0.500 0.000  -0.04
2 Pt 0.675 0.504 0.649  0.00
3 Pu 0.161 0.239 0.678  5.05
4 Ru 0.000 0.000 0.000  -0.48
5 Pu 0.163 0.749 0.673  -4.95
6 Pu 0.839 0.761 0.322  5.05
7 Pt 0.334 0.009 0.332  -0.03
8 Pu 0.502 0.249 0.996  5.11
9 Pt 0.325 0.496 0.351  0.00
10 Pu 0.498 0.751 0.004  5.11
11 Pu 0.837 0.251 0.327  -4.95
12 Pt 0.666 0.991 0.668  -0.03

* calculated formation energy: -0.583 eV per atom
* crystal system: monoclinic

No. 10
## Pu5RuPt4 (PBE-GGA)

Data for a relaxed structure of Pu5RuPt4.

abc: 3.530 3.530 16.950
angles: 90.00 90.00 90.00
Each line ends with the local moment (μB).
Fractional positions:
1 Pt 0.000 0.000 0.398  -0.06
2 Pt 0.000 0.000 0.602  -0.06
3 Pt 0.000 0.000 0.805  -0.06
4 Pu 0.500 0.500 0.500  5.25
5 Pu 0.500 0.500 0.297  5.24
6 Pt 0.000 0.000 0.195  -0.06
7 Pu 0.500 0.500 0.095  5.12
8 Ru 0.000 0.000 0.000  -0.81
9 Pu 0.500 0.500 0.905  5.12
10 Pu 0.500 0.500 0.703  5.24

* calculated formation energy: -0.608 eV per atom
* crystal system: tetragonal

No. 11
## Pu6Ru2Pt (PBE-GGA)

Data for a relaxed structure of Pu6Ru2Pt.

abc: 2.791 7.849 7.849
angles: 120.00 90.00 90.00
Fractional positions:
1 Pu 0.085 0.652 0.652
2 Ru 0.499 0.667 0.333
3 Pu 0.915 0.348 0.348
4 Pu 0.915 0.000 0.652
5 Pu 0.085 0.348 0.000
6 Pu 0.915 0.652 0.000
7 Ru 0.501 0.333 0.667
8 Pt 0.500 0.000 0.000
9 Pu 0.085 0.000 0.348

* calculated formation energy: 0.088 eV per atom
* crystal system: trigonal

No. 12
## Pu5Ru2Pt (PBE-GGA)

Data for a relaxed structure of Pu5Ru2Pt.

abc: 7.531 7.531 8.214
angles: 117.28 117.28 90.00
Each line ends with the local moment (μB).
Fractional positions:
1 Pu 0.012 0.512 0.705  5.31
2 Pu 0.307 0.807 0.295  5.31
3 Pu 0.693 0.193 0.705  5.31
4 Pu 0.512 0.693 0.705  5.31
5 Pu 0.807 0.988 0.295  5.31
6 Pu 0.500 0.500 0.000  5.18
7 Pu 0.000 0.000 0.000  5.18
8 Pu 0.988 0.488 0.295  5.31
9 Ru 0.859 0.641 0.000  -0.58
10 Pu 0.193 0.012 0.705  5.31
11 Ru 0.359 0.859 0.000  -0.58
12 Pt 0.250 0.250 0.500  -0.02
13 Pu 0.488 0.307 0.295  5.31
14 Ru 0.641 0.141 0.000  -0.58
15 Ru 0.141 0.359 0.000  -0.58
16 Pt 0.750 0.750 0.500  -0.02

* calculated formation energy: -0.306 eV per atom
* crystal system: tetragonal

No. 13
## Pu12RuPt6 (PBE-GGA)

Data for a relaxed structure of Pu12RuPt6.

abc: 7.393 7.393 7.393
angles: 94.10 94.10 94.10
Each line ends with the local moment (μB).
Fractional positions:
1 Pt 0.266 0.117 0.758  -0.03
2 Pu 0.428 0.821 0.541  5.01
3 Pu 0.616 0.936 0.859  -4.91
4 Pu 0.859 0.616 0.936  -4.91
5 Pu 0.821 0.541 0.428  5.01
6 Pu 0.572 0.179 0.459  5.01
7 Pu 0.064 0.141 0.384  -4.91
8 Pt 0.242 0.734 0.883  -0.03
9 Pt 0.734 0.883 0.242  -0.03
10 Pt 0.758 0.266 0.117  -0.03
11 Pu 0.936 0.859 0.616  -4.91
12 Pt 0.883 0.242 0.734  -0.03
13 Pu 0.459 0.572 0.179  5.01
14 Pu 0.541 0.428 0.821  5.01
15 Pu 0.384 0.064 0.141  -4.91
16 Ru 0.000 0.000 0.000  0.50
17 Pu 0.179 0.459 0.572  5.01
18 Pu 0.141 0.384 0.064  -4.91
19 Pt 0.117 0.758 0.266  -0.03

* calculated formation energy: -0.413 eV per atom
* crystal system: trigonal

No. 14
## Pu4RuPt2 (PBE-GGA)

Data for a relaxed structure of Pu4RuPt2.

abc: 5.961 5.961 5.961
angles: 108.34 110.04 110.04
Each line ends with the local moment (μB).
Fractional positions:
1 Ru 0.000 0.000 0.000  -0.87
2 Pt 0.500 0.000 0.500  -0.08
3 Pu 0.500 0.500 0.500  5.29
4 Pu 0.000 0.500 0.000  5.29
5 Pu 0.000 0.000 0.500  5.29
6 Pu 0.500 0.000 0.000  5.29
7 Pt 0.500 0.500 0.000  -0.08

* calculated formation energy: -0.378 eV per atom
* crystal system: tetragonal
* offset from the most stable computed form: 0 meV/atom

No. 15
## Pu5Ru4Pt (PBE-GGA)

Data for a relaxed structure of Pu5Ru4Pt.

abc: 3.338 3.338 17.682
angles: 90.00 90.00 90.00
Each line ends with the local moment (μB).
Fractional positions:
1 Pt 0.000 0.000 0.000  -0.09
2 Pu 0.500 0.500 0.894  5.07
3 Ru 0.000 0.000 0.206  -0.70
4 Ru 0.000 0.000 0.402  -0.74
5 Ru 0.000 0.000 0.598  -0.74
6 Pu 0.500 0.500 0.106  5.07
7 Pu 0.500 0.500 0.500  4.92
8 Pu 0.500 0.500 0.304  4.92
9 Ru 0.000 0.000 0.794  -0.70
10 Pu 0.500 0.500 0.696  4.92

* calculated formation energy: -0.261 eV per atom
* crystal system: tetragonal

No. 16
## Pu7RuPt4 (PBE-GGA)

Data for a relaxed structure of Pu7RuPt4.

abc: 5.406 9.847 6.291
angles: 102.67 64.55 74.07
Each line ends with the local moment (μB).
Fractional positions:
1 Pt 0.159 0.346 0.335  -0.10
2 Pu 0.148 0.587 0.117  5.14
3 Pt 0.481 0.243 0.796  -0.01
4 Pt 0.841 0.654 0.665  -0.10
5 Pu 0.852 0.413 0.883  5.14
6 Pu 0.678 0.298 0.346  5.06
7 Pu 0.846 0.905 0.404  -5.09
8 Pu 0.500 0.000 0.000  -4.96
9 Ru 0.000 0.000 0.000  0.20
10 Pt 0.519 0.757 0.204  -0.01
11 Pu 0.322 0.702 0.654  5.06
12 Pu 0.154 0.095 0.596  -5.09

* calculated formation energy: -0.411 eV per atom
* crystal system: monoclinic

No. 17
## Pu7Ru2Pt2 (PBE-GGA)

Data for a relaxed structure of Pu7Ru2Pt2.

abc: 6.165 7.139 6.165
angles: 82.46 110.61 97.54
Each line ends with the local moment (μB).
Fractional positions:
1 Pu 0.988 0.307 0.489  -4.52
2 Pu 0.554 0.287 0.446  4.27
3 Pt 0.695 0.959 0.305  0.06
4 Pu 0.489 0.693 0.988  -4.52
5 Pu 0.012 0.693 0.511  -4.52
6 Ru 0.178 0.500 0.178  0.15
7 Pu 0.446 0.713 0.554  4.27
8 Pt 0.305 0.041 0.695  0.06
9 Pu 0.511 0.307 0.012  -4.52
10 Pu 0.000 0.000 0.000  -5.42
11 Ru 0.822 0.500 0.822  0.15

* calculated formation energy: -0.062 eV per atom
* crystal system: monoclinic

No. 18
## Pu7Ru4Pt (PBE-GGA)

Data for a relaxed structure of Pu7Ru4Pt.

abc: 5.258 7.720 7.169
angles: 72.68 68.48 70.09
Each line ends with the local moment (μB).
Fractional positions:
1 Pt 0.000 0.000 0.000  -0.04
2 Pu 0.954 0.372 0.720  -4.65
3 Pu 0.046 0.628 0.280  -4.65
4 Pu 0.500 0.000 0.000  4.72
5 Ru 0.542 0.287 0.628  0.19
6 Pu 0.198 0.099 0.504  4.88
7 Ru 0.713 0.627 0.948  0.46
8 Pu 0.802 0.901 0.496  4.88
9 Pu 0.726 0.316 0.232  -4.71
10 Ru 0.287 0.373 0.052  0.46
11 Pu 0.274 0.684 0.768  -4.71
12 Ru 0.458 0.713 0.372  0.19

* calculated formation energy: -0.047 eV per atom
* crystal system: monoclinic

No. 19
## PuScRuPt (PBE-GGA)

Data for a relaxed structure of PuScRuPt.

abc: 4.739 4.739 4.739
angles: 60.00 60.00 60.00
Each line ends with the local moment (μB).
Fractional positions:
1 Pu 0.750 0.750 0.750  4.90
2 Pt 0.500 0.500 0.500  -0.13
3 Sc 0.250 0.250 0.250  0.11
4 Ru 0.000 0.000 0.000  -0.56

* calculated formation energy: -0.606 eV per atom
* crystal system: cubic

No. 20
## PuSi2RuPt (PBE-GGA)

Data for a relaxed structure of PuSi2RuPt.

abc: 4.069 4.069 5.857
angles: 110.33 110.33 90.00
Each line ends with the local moment (μB).
Fractional positions:
1 Si 0.620 0.620 0.240  -0.01
2 Pu 0.000 0.000 0.000  5.12
3 Ru 0.750 0.250 0.500  -0.06
4 Pt 0.250 0.750 0.500  0.00
5 Si 0.380 0.380 0.760  -0.01

* crystal system: tetragonal
* raw formation energy: -0.832 eV per atom

No. 21
## TbPuRuPt (PBE-GGA)

Data for a relaxed structure of TbPuRuPt.

abc: 4.879 4.879 4.879
angles: 60.00 60.00 60.00
Each line ends with the local moment (μB).
Fractional positions:
1 Pt 0.750 0.750 0.750  -0.14
2 Ru 0.250 0.250 0.250  -0.66
3 Tb 0.000 0.000 0.000  0.10
4 Pu 0.500 0.500 0.500  4.98

* calculated formation energy: -0.548 eV per atom
* crystal system: cubic

No. 22
## PuThRuPt (PBE-GGA)

Data for a relaxed structure of PuThRuPt.

abc: 4.979 4.979 4.979
angles: 60.00 60.00 60.00
Each line ends with the local moment (μB).
Fractional positions:
1 Ru 0.250 0.250 0.250  -0.43
2 Pt 0.750 0.750 0.750  -0.05
3 Th 0.000 0.000 0.000  0.19
4 Pu 0.500 0.500 0.500  5.16

* calculated formation energy: -0.544 eV per atom
* crystal system: cubic

no.,E (eV/atom),calculated volume (Å³ per atom)
1,-11.692,24.1
2,-11.982,21.8
3,-12.112,21.4
4,-9.985,16.5
5,-11.669,19.9
6,-11.602,23.1
7,-11.528,25.0
8,-12.350,23.7
9,-11.038,21.2
10,-11.118,21.1
11,-12.199,16.5
12,-12.338,22.2
13,-11.861,21.1
14,-11.619,23.3
15,-11.742,19.7
16,-11.557,22.3
17,-11.967,22.8
18,-12.002,20.8
19,-9.601,18.8
20,-8.931,16.9
21,-9.118,20.5
22,-9.811,21.8